A plane-wave DFT calculation with GGA-PBE was carried out for crystalline Sr2Pd2Br at its relaxed geometry.

As for the crystal system: tetragonal. For the calculated total energy, the calculation gives -3.84 eV/atom. As for the uncorrected formation energy: -757 meV per atom. The value obtained for the polymorph energy (0 for the lowest one) is 0.0000 eV per atom.

The structure belongs to space group P4/mbm (No. 127); the cell edges are 8.370, 8.370 and 3.859 Å and the angles 90.00°, 90.00° and 90.00°. The inequivalent atoms are Sr at (0.181, 0.319, 0.000), Pd at (0.113, 0.613, 0.500) and Br at (0.000, 0.000, 0.500).